(1)
A relaxed PmTm3Ru crystal. Source: the Alexandria database, functional PBE.

```
10
Lattice="-1.632 -2.714 -2.081 5.703 1.350 -6.234 3.924 -5.973 4.712" Properties=species:S:1:pos:R:3 pbc="T T T"
Tm 2.733 -4.656 2.203
Tm 5.562 -5.038 0.483
Tm 5.262 -2.681 -5.806
Tm 2.433 -2.299 -4.085
Tm 7.052 -6.227 -2.584
Tm 0.943 -1.109 -1.018
Pm 5.443 -2.858 -2.266
Pm 2.552 -4.478 -1.336
Ru 3.691 -7.099 1.188
Ru 4.303 -0.237 -4.791
```

- Formation enthalpy at 0 K: -272.6 meV per atom
- Spin magnetization: 0.0 μB per formula unit
- Distance to the lowest polymorph of the same formula: 0.0 meV per atom
- Crystal system: monoclinic
- Fermi-level density of states: 8.12 states/eV per cell

(2)
A relaxed Mg8Tl3Pb crystal. Source: the Alexandria database, functional PBE.

```
12
Lattice="8.089 -1.220 -1.940 -4.322 6.945 1.940 -4.322 -1.258 7.101" Properties=species:S:1:pos:R:3 pbc="T T T"
Mg -3.234 4.149 2.111
Mg -3.554 4.359 6.929
Mg -5.410 5.581 4.387
Mg -5.410 1.539 6.930
Mg -1.378 2.928 4.654
Mg 0.823 1.539 2.447
Mg -3.234 0.107 4.654
Mg 2.999 0.107 0.171
Tl -0.278 4.284 2.260
Tl -0.278 0.183 4.840
Tl -4.322 2.844 4.520
Pb 0.000 0.000 0.000
```

- Formation enthalpy at 0 K: 1.6 meV per atom
- Spin magnetization: 0.0 μB per formula unit
- Crystal system: tetragonal
- Fermi-level density of states: 5.44 states/eV per cell

(3)
A relaxed MgMn2Cr crystal. Source: the Alexandria database, functional PBE.

```
4
Lattice="4.069 0.000 0.000 0.000 2.725 0.051 0.000 1.210 5.114" Properties=species:S:1:pos:R:3 pbc="T T T"
Mn 0.000 0.028 0.098
Mn 2.034 1.133 1.408
Cr 0.000 1.893 2.337
Mg 2.034 2.848 3.905
```

- Formation enthalpy at 0 K: 336.7 meV per atom
- Spin magnetization: 2.8 μB per formula unit
- Crystal system: monoclinic
- Fermi-level density of states: 3.84 states/eV per cell

(4)
A relaxed RbTbScI6 crystal. Source: the Alexandria database, functional PBE.

```
18
Lattice="-5.351 1.692 5.248 6.823 -2.749 2.219 6.045 15.854 1.052" Properties=species:S:1:pos:R:3 pbc="T T T"
Rb 0.000 0.000 0.000
Rb 3.022 7.927 0.526
Sc 4.276 2.695 3.491
Sc 3.241 12.102 5.027
I 2.721 5.203 3.064
I 6.472 3.855 1.840
I 1.875 1.630 4.903
I 3.341 1.329 1.011
I 5.735 0.202 4.234
I 5.642 13.167 3.616
I 1.045 10.943 6.679
I 4.796 9.594 5.454
I 2.004 10.846 2.622
I 1.782 14.595 4.285
I 5.513 3.951 5.897
I 4.176 13.468 7.507
Tb 7.299 10.622 4.017
Tb 0.218 4.175 4.501
```

- Spin magnetization: 1.0 μB per formula unit
- E_form (uncorrected): -11.67 eV/f.u.
- Crystal system: trigonal
- Fermi-level density of states: 12.49 states/eV per cell

(5)
A relaxed ScCo2Rh crystal. Source: the Alexandria database, functional PBE.

```
4
Lattice="-3.087 1.175 3.585 2.785 -4.007 0.803 1.699 0.979 1.952" Properties=species:S:1:pos:R:3 pbc="T T T"
Sc -0.151 -1.416 2.194
Rh 2.242 -1.514 1.377
Co -0.694 1.077 2.768
Co 0.000 0.000 0.000
```

- Formation enthalpy at 0 K: -91.4 meV per atom
- Spin magnetization: 3.1 μB per formula unit
- Crystal system: monoclinic
- Fermi-level density of states: 4.85 states/eV per cell

(6)
A relaxed SrPbAu2 crystal. Source: the Alexandria database, functional PBE.

```
4
Lattice="3.787 0.000 0.000 0.000 3.811 0.017 0.000 3.779 7.208" Properties=species:S:1:pos:R:3 pbc="T T T"
Au 0.000 3.794 3.525
Au 0.000 3.813 0.104
Pb 1.894 1.898 1.806
Sr 1.894 5.693 5.419
```

- Formation enthalpy at 0 K: -434.0 meV per atom
- Spin magnetization: 0.0 μB per formula unit
- Crystal system: orthorhombic
- Fermi-level density of states: 2.16 states/eV per cell

(7)
A relaxed Pt2SeBr crystal. Source: the Alexandria database, functional PBE.

```
4
Lattice="3.666 0.030 -0.017 1.803 3.193 -0.017 1.822 1.074 6.697" Properties=species:S:1:pos:R:3 pbc="T T T"
Br 1.823 1.074 1.665
Pt 1.827 1.077 6.510
Pt 3.641 2.146 3.518
Se 5.468 3.223 4.996
```

- Spin magnetization: 0.0 μB per formula unit
- Distance to the lowest polymorph of the same formula: 401.2 meV per atom
- E_form (uncorrected): 0.76 eV/f.u.
- Crystal system: monoclinic
- Fermi-level density of states: 2.30 states/eV per cell

(8)
A relaxed BaCrReBi2 crystal. Source: the Alexandria database, functional PBE.

```
5
Lattice="6.326 0.000 0.000 0.000 5.725 0.000 0.000 0.000 6.326" Properties=species:S:1:pos:R:3 pbc="T T T"
Ba 0.000 0.000 0.000
Bi 0.000 0.000 3.163
Bi 3.163 0.000 0.000
Cr 0.000 2.863 0.000
Re 3.163 2.863 3.163
```

- Formation enthalpy at 0 K: 2435.1 meV per atom
- Spin magnetization: 10.0 μB per formula unit
- Crystal system: tetragonal
- Fermi-level density of states: 6.18 states/eV per cell